Record 1
Below is PmDySe2I2 after structural relaxation, with properties calculated at the PBE level.

Structure (extended XYZ):
```
6
Lattice="-4.523 1.953 0.539 -1.598 -2.627 -3.887 -1.921 -5.735 4.665" Properties=species:S:1:pos:R:3 pbc="T T T"
Dy -0.367 -1.096 0.891
I -3.802 -2.552 0.128
I -1.168 -3.485 2.835
Se -2.273 0.944 0.296
Se -0.810 -1.346 -1.917
Pm -4.604 -4.944 2.073
```

The space-group type is P4mm, No. 99.


Record 2
Below is PrDySbI2 after structural relaxation, with properties calculated at the PBE level.

Structure (extended XYZ):
```
5
Lattice="4.411 0.000 0.000 -2.205 3.820 0.000 0.000 0.000 11.408" Properties=species:S:1:pos:R:3 pbc="T T T"
Pr 2.205 1.273 1.726
I 0.000 2.546 3.777
I 2.205 1.273 7.756
Sb 0.000 0.000 11.295
Dy 0.000 2.546 9.669
```

The space-group type is P3m1, No. 156.


Record 3
Below is DyPuI6 after structural relaxation, with properties calculated at the PBE level.

Structure (extended XYZ):
```
8
Lattice="3.904 -6.760 0.000 3.904 6.760 0.000 -2.537 0.000 7.387" Properties=species:S:1:pos:R:3 pbc="T T T"
I 5.313 -2.360 1.759
I -0.042 -2.360 5.628
I 5.236 2.406 1.760
I 4.148 -0.046 5.598
I 0.036 2.406 5.627
I 1.123 -0.046 1.789
Dy 3.904 4.512 0.000
Pu 3.904 -4.512 0.000
```

The space-group type is C2, No. 5.


Record 4
Below is SmDyS2I2 after structural relaxation, with properties calculated at the PBE level.

Structure (extended XYZ):
```
6
Lattice="4.245 0.000 0.000 0.000 5.427 0.000 0.000 0.000 9.614" Properties=species:S:1:pos:R:3 pbc="T T T"
I 0.000 2.714 3.426
I 2.123 0.000 6.265
S 2.123 0.000 0.602
S 0.000 2.714 8.928
Dy 0.000 0.000 8.472
Sm 2.123 2.714 1.149
```

The space-group type is Pmm2, No. 25.


Number 1: energy -28.65 eV per cell. Number 2: energy -23.09 eV per cell. Number 3: energy -38.09 eV per cell. Number 4: energy -31.48 eV per cell.